# ZrOsW2F

A relaxed structure of ZrOsW2F (PBE+U, Alexandria via LeMat-Bulk).

Summary:
- Space group: P4/mmm (123)
- Crystal system: tetragonal
- Calculated total energy: -28.65 eV per cell

Cell: 5.175 5.175 3.874 Å, 90.00 90.00 90.00°
Atoms (fractional coordinates):
Zr1 0.000 0.000 0.000
Os1 0.500 0.500 0.500
W1 0.000 0.500 0.000
W2 0.500 0.000 0.000
F1 0.000 0.000 0.500